(1)
MgHgTe2 | Alexandria via LeMat-Bulk | PBE-GGA | relaxed; relative energy among the computed polymorphs = 11.39 kcal/mol of atoms; Fermi-level density of states = 0.301 states/eV per atom
1.0
3.761 0.000 0.000
0.000 4.979 0.000
0.000 0.000 5.931
Mg Hg Te
1 1 2
Direct
0.000 0.000 0.000 Mg
0.500 0.500 0.000 Hg
0.000 0.500 0.500 Te
0.500 0.000 0.500 Te

***

(2)
Mg2HgTe | Alexandria via LeMat-Bulk | PBE-GGA | relaxed; relative energy among the computed polymorphs = 3.67 kcal/mol of atoms; Fermi-level density of states = 0.211 states/eV per atom
1.0
0.000 3.690 3.690
3.690 0.000 3.690
3.690 3.690 0.000
Mg Hg Te
2 1 1
Direct
0.250 0.250 0.250 Mg
0.750 0.750 0.750 Mg
0.000 0.000 0.000 Hg
0.500 0.500 0.500 Te

***

(3)
# Mg3HgTe4

Crystalline Mg3HgTe4 at its relaxed geometry (PBE-GGA, Alexandria via LeMat-Bulk).

POSCAR file:
```
Mg3HgTe4
1.0
6.544 0.000 0.000
0.000 6.544 0.000
0.000 0.000 6.544
Mg Hg Te
3 1 4
Direct
0.000 0.000 0.500 Mg
0.000 0.500 0.000 Mg
0.500 0.000 0.000 Mg
0.500 0.500 0.500 Hg
0.245 0.245 0.755 Te
0.245 0.755 0.245 Te
0.755 0.245 0.245 Te
0.755 0.755 0.755 Te
```

***

(4)
Mg2HgTe | Alexandria via LeMat-Bulk | PBE-GGA | relaxed; relative energy among the computed polymorphs = 1.58 kcal/mol of atoms; Fermi-level density of states = 0.189 states/eV per atom
1.0
3.841 0.000 0.000
0.000 3.831 0.000
-1.087 0.000 6.579
Mg Hg Te
2 1 1
Direct
0.005 0.000 0.255 Mg
0.995 0.000 0.745 Mg
0.500 0.500 0.500 Hg
0.500 0.500 0.000 Te

***

(5)
MgHg2Te2 | Alexandria via LeMat-Bulk | PBE-GGA | relaxed; relative energy among the computed polymorphs = 0.99 kcal/mol of atoms; Fermi-level density of states = 0.413 states/eV per atom
1.0
-2.056 2.056 8.655
2.056 -2.056 8.655
2.056 2.056 -8.655
Mg Hg Te
1 2 2
Direct
0.000 0.000 0.000 Mg
0.250 0.750 0.500 Hg
0.750 0.250 0.500 Hg
0.415 0.415 0.000 Te
0.585 0.585 0.000 Te

***

(6)
MgHgTe2 | Alexandria via LeMat-Bulk | PBE-GGA | relaxed; relative energy among the computed polymorphs = 10.69 kcal/mol of atoms; Fermi-level density of states = 0.720 states/eV per atom
1.0
5.193 0.000 0.000
0.000 5.193 0.000
0.000 0.000 3.933
Mg Hg Te
1 1 2
Direct
0.000 0.000 0.000 Mg
0.500 0.500 0.000 Hg
0.000 0.500 0.500 Te
0.500 0.000 0.500 Te

***

Number 1: raw formation energy -0.02 eV per atom. Number 2: raw formation energy -0.21 eV per atom. Number 3: raw formation energy -0.69 eV per atom. Number 4: raw formation energy -0.30 eV per atom. Number 5: raw formation energy -0.10 eV per atom. Number 6: raw formation energy -0.05 eV per atom.